<w>
## CdPbNF2 (GGA-PBE)

Data for a relaxed CdPbNF2 crystal.

Calculated values
Crystal system: tetragonal
Space group: P4/mmm

abc: 4.5153 4.5153 4.4978
angles: 90.00 90.00 90.00
Atoms (fractional coordinates):
Pb: 0.0000 0.0000 0.0000
N: 0.0000 0.0000 0.5000
F: 0.0000 0.5000 0.0000
F: 0.5000 0.0000 0.0000
Cd: 0.5000 0.5000 0.5000

=====

<x>
## CdPbNF2 (GGA-PBE)

Data for a relaxed CdPbNF2 crystal.

Calculated values
Crystal system: tetragonal
Space group: P4/mmm

abc: 4.3729 4.3729 4.4821
angles: 90.00 90.00 90.00
Atoms (fractional coordinates):
Pb: 0.5000 0.5000 0.5000
N: 0.0000 0.0000 0.5000
F: 0.0000 0.5000 0.0000
F: 0.5000 0.0000 0.0000
Cd: 0.0000 0.0000 0.0000

=====

Relative energies in eV/atom: <w> 0.141; <x> 0.000